Below is a geometry-optimized Ac12Pr3Cd structure, with properties calculated at the PBE level.

Energy of formation from the pure elements in eV/atom: 0.003
DFT total energy in eV per atom: -4.03

a = 5.492 Å, b = 5.492 Å, c = 22.149 Å
α = 90.00°, β = 90.00°, γ = 90.00°
Element x y z (fractional)
Pr1 0.000 0.000 0.753
Ac1 0.500 0.500 0.500
Cd1 0.000 0.000 0.000
Ac2 0.500 0.000 0.627
Ac3 0.000 0.500 0.373
Pr2 0.000 0.000 0.500
Pr3 0.000 0.000 0.247
Ac4 0.500 0.000 0.122
Ac5 0.500 0.500 0.247
Ac6 0.000 0.500 0.878
Ac7 0.500 0.500 0.000
Ac8 0.500 0.000 0.878
Ac9 0.500 0.500 0.753
Ac10 0.500 0.000 0.373
Ac11 0.000 0.500 0.122
Ac12 0.000 0.500 0.627